TcSbTe2Pt: relaxed, PBE.

Cell lengths 5.1134, 5.1134, 5.0988 Å; angles 90.00, 90.00, 90.00 degrees
Space group P4/mmm (No. 123)
One atom of each set of equivalent atoms:
Tc  0.0000  0.0000  0.0000 [1 per cell]
Sb  0.0000  0.0000  0.5000 [1 per cell]
Te  0.0000  0.5000  0.0000 [2 per cell]
Pt  0.5000  0.5000  0.5000 [1 per cell]

Values from the calculation:
As for the excess energy over the best structure of this formula in the dataset: 0.000 eV per atom. The energy relative to the elements, uncorrected is 0.82 eV per atom. The value obtained for the total magnetization is 0.00 μB/f.u. As for the calculated density: 8346 kg/m3.

=====

YTcSb2Pt: relaxed, PBE.

Cell lengths 5.5987, 5.5987, 4.9040 Å; angles 90.00, 90.00, 90.00 degrees
Space group P4/mmm (No. 123)
One atom of each set of equivalent atoms:
Y  0.0000  0.0000  0.0000 [1 per cell]
Tc  0.0000  0.0000  0.5000 [1 per cell]
Sb  0.0000  0.5000  0.0000 [2 per cell]
Pt  0.5000  0.5000  0.5000 [1 per cell]

Values from the calculation:
As for the excess energy over the best structure of this formula in the dataset: 1.351 eV per atom. The energy relative to the elements, uncorrected is 1.52 eV per atom. The value obtained for the total magnetization is 2.25 μB/f.u. As for the calculated density: 6757 kg/m3.

=====

YTcSb2Pt: relaxed, PBE.

Cell lengths 5.1080, 5.1080, 4.9272 Å; angles 90.00, 90.00, 90.00 degrees
Space group P4/mmm (No. 123)
One atom of each set of equivalent atoms:
Y  0.0000  0.0000  0.0000 [1 per cell]
Tc  0.5000  0.5000  0.5000 [1 per cell]
Sb  0.0000  0.5000  0.5000 [2 per cell]
Pt  0.5000  0.5000  0.0000 [1 per cell]

Values from the calculation:
As for the excess energy over the best structure of this formula in the dataset: 0.000 eV per atom. The energy relative to the elements, uncorrected is 0.16 eV per atom. The value obtained for the total magnetization is 0.00 μB/f.u. As for the calculated density: 8079 kg/m3.

=====

Sb2Te2Pt3: relaxed, PBE.

Cell lengths 6.8818, 7.3205, 6.9950 Å; angles 90.00, 107.51, 90.00 degrees
Space group P2_1/c (No. 14)
One atom of each set of equivalent atoms:
Sb  0.1210  0.1512  0.3879 [4 per cell]
Te  0.3760  0.6657  0.6211 [4 per cell]
Pt  0.2264  0.0302  0.7733 [4 per cell]
Pt  0.5000  0.0000  0.5000 [2 per cell]

Values from the calculation:
The energy relative to the elements, uncorrected is -0.31 eV per atom. The value obtained for the total magnetization is 0.00 μB/f.u. As for the calculated density: 10712 kg/m3.

=====

Sb3TePt: relaxed, PBE.

Cell lengths 5.2932, 5.2932, 5.2932 Å; angles 90.00, 90.00, 90.00 degrees
Space group Pm-3m (No. 221)
One atom of each set of equivalent atoms:
Sb  0.0000  0.0000  0.5000 [3 per cell]
Te  0.5000  0.5000  0.5000 [1 per cell]
Pt  0.0000  0.0000  0.0000 [1 per cell]

Values from the calculation:
As for the excess energy over the best structure of this formula in the dataset: 0.527 eV per atom. The energy relative to the elements, uncorrected is 0.33 eV per atom. The value obtained for the total magnetization is 0.00 μB/f.u. As for the calculated density: 7703 kg/m3.

=====

SbTe2Pt2: relaxed, PBE.

Cell lengths 7.6393, 7.6393, 3.7708 Å; angles 90.00, 90.00, 90.00 degrees
Space group P4/mbm (No. 127)
One atom of each set of equivalent atoms:
Sb  0.0000  0.0000  0.0000 [2 per cell]
Te  0.1690  0.3310  0.5000 [4 per cell]
Pt  0.1315  0.6315  0.0000 [4 per cell]

Values from the calculation:
The energy relative to the elements, uncorrected is 0.01 eV per atom. The value obtained for the total magnetization is 0.00 μB/f.u. As for the calculated density: 11577 kg/m3.

=====

SbTePt: relaxed, PBE.

Cell lengths 4.0750, 4.0750, 5.2268 Å; angles 90.00, 90.00, 120.00 degrees
Space group P3m1 (No. 156)
One atom of each set of equivalent atoms:
Sb  0.0000  0.0000  0.0000 [1 per cell]
Te  0.6667  0.3333  0.4813 [1 per cell]
Pt  0.3333  0.6667  0.7474 [1 per cell]

Values from the calculation:
The energy relative to the elements, uncorrected is -0.39 eV per atom. The value obtained for the total magnetization is 0.00 μB/f.u. As for the calculated density: 9818 kg/m3.

=====

SbTe2Pt2: relaxed, PBE.

Cell lengths 4.5246, 4.5246, 11.5887 Å; angles 90.00, 90.00, 90.00 degrees
Space group I4/mmm (No. 139)
One atom of each set of equivalent atoms:
Sb  0.0000  0.0000  0.0000 [2 per cell]
Te  0.0000  0.5000  0.2500 [4 per cell]
Pt  0.0000  0.0000  0.3860 [4 per cell]

Values from the calculation:
The energy relative to the elements, uncorrected is 0.17 eV per atom. The value obtained for the total magnetization is 0.00 μB/f.u. As for the calculated density: 10739 kg/m3.

=====

Sb2TePt: relaxed, PBE.

Cell lengths 3.5509, 5.0800, 5.2040 Å; angles 90.00, 90.00, 90.00 degrees
Space group Pmmm (No. 47)
One atom of each set of equivalent atoms:
Sb  0.0000  0.0000  0.0000 [1 per cell]
Sb  0.5000  0.5000  0.0000 [1 per cell]
Te  0.0000  0.5000  0.5000 [1 per cell]
Pt  0.5000  0.0000  0.5000 [1 per cell]

Values from the calculation:
The energy relative to the elements, uncorrected is 0.26 eV per atom. The value obtained for the total magnetization is 0.00 μB/f.u. As for the calculated density: 10016 kg/m3.

=====

SbTePt: relaxed, PBE.

Cell lengths 4.3561, 5.4864, 12.2940 Å; angles 90.00, 90.00, 90.00 degrees
Space group Fmm2 (No. 42)
One atom of each set of equivalent atoms:
Sb  0.0000  0.0000  0.0000 [4 per cell]
Te  0.0000  0.0000  0.2677 [4 per cell]
Pt  0.0000  0.0000  0.6253 [4 per cell]

Values from the calculation:
The energy relative to the elements, uncorrected is 0.00 eV per atom. The value obtained for the total magnetization is 0.00 μB/f.u. As for the calculated density: 10047 kg/m3.

=====

Sb2TePt: relaxed, PBE.

Cell lengths 3.9507, 5.7294, 8.9792 Å; angles 90.00, 90.00, 90.00 degrees
Space group Amm2 (No. 38)
One atom of each set of equivalent atoms:
Sb  0.0000  0.0000  0.0000 [2 per cell]
Sb  0.5000  0.0000  0.2943 [2 per cell]
Te  0.0000  0.0000  0.5880 [2 per cell]
Pt  0.5000  0.0000  0.7979 [2 per cell]

Values from the calculation:
The energy relative to the elements, uncorrected is -0.18 eV per atom. The value obtained for the total magnetization is 0.00 μB/f.u. As for the calculated density: 9252 kg/m3.

=====

Sb2TePt2: relaxed, PBE.

Cell lengths 7.6480, 7.6480, 3.7464 Å; angles 90.00, 90.00, 90.00 degrees
Space group P4/mbm (No. 127)
One atom of each set of equivalent atoms:
Sb  0.1556  0.3444  0.0000 [4 per cell]
Te  0.0000  0.0000  0.5000 [2 per cell]
Pt  0.1330  0.6330  0.5000 [4 per cell]

Values from the calculation:
As for the excess energy over the best structure of this formula in the dataset: 0.073 eV per atom. The energy relative to the elements, uncorrected is -0.11 eV per atom. The value obtained for the total magnetization is 0.00 μB/f.u. As for the calculated density: 11538 kg/m3.